# NaPOsCl2

Crystalline NaPOsCl2 at its relaxed geometry (PBE, Alexandria).

Calculated values
The value obtained for the distance to the lowest polymorph of the same formula is 0.0 meV per atom. For the total moment, the calculation gives 0.00 Bohr magnetons per cell. For the density of states at the Fermi level, the calculation gives 4.8 states/eV/f.u. The formation energy (no corrections) comes out at -156 meV/atom. The total energy comes out at -4.4866 eV per atom. The value obtained for the density is 4.5 Mg/m³.

Cell: 5.0961 5.0961 4.4545 Å, 90.00 90.00 90.00°
Fractional positions:
Cl: 0.5000 0.0000 0.0000
Os: 0.0000 0.0000 0.0000
P: 0.0000 0.0000 0.5000
Cl: 0.0000 0.5000 0.0000
Na: 0.5000 0.5000 0.5000



# NaP2OsCl

Crystalline NaP2OsCl at its relaxed geometry (PBE, Alexandria).

Calculated values
The value obtained for the distance to the lowest polymorph of the same formula is 1901.4 meV per atom. For the total moment, the calculation gives 2.90 Bohr magnetons per cell. For the density of states at the Fermi level, the calculation gives 4.8 states/eV/f.u. The formation energy (no corrections) comes out at 1878 meV/atom. The total energy comes out at -3.1654 eV per atom. The value obtained for the density is 4.7 Mg/m³.

Cell: 4.8832 4.8832 4.5934 Å, 90.00 90.00 90.00°
Site moments in Bohr magnetons follow the coordinates.
Fractional positions:
Na: 0.0000 0.0000 0.0000  0.01
Os: 0.5000 0.5000 0.5000  2.69
Cl: 0.0000 0.0000 0.5000  0.07
P: 0.5000 0.0000 0.0000  -0.06
P: 0.0000 0.5000 0.0000  -0.06



# NaPOsCl2

Crystalline NaPOsCl2 at its relaxed geometry (PBE, Alexandria).

Calculated values
The value obtained for the distance to the lowest polymorph of the same formula is 1420.4 meV per atom. For the total moment, the calculation gives 2.72 Bohr magnetons per cell. For the density of states at the Fermi level, the calculation gives 3.0 states/eV/f.u. The formation energy (no corrections) comes out at 1264 meV/atom. The total energy comes out at -3.0662 eV per atom. The value obtained for the density is 4.3 Mg/m³.

Cell: 4.7073 4.7073 5.5187 Å, 90.00 90.00 90.00°
Site moments in Bohr magnetons follow the coordinates.
Fractional positions:
P: 0.0000 0.0000 0.5000  -0.55
Na: 0.0000 0.0000 0.0000  -0.01
Cl: 0.0000 0.5000 0.0000  0.05
Cl: 0.5000 0.0000 0.0000  0.05
Os: 0.5000 0.5000 0.5000  3.32



# Rb2NaOsCl6

Crystalline Rb2NaOsCl6 at its relaxed geometry (PBE, Alexandria).

Calculated values
For the total moment, the calculation gives 2.03 Bohr magnetons per cell. For the density of states at the Fermi level, the calculation gives 8.0 states/eV/f.u. The formation energy (no corrections) comes out at -1254 meV/atom. The total energy comes out at -3.8108 eV per atom. The value obtained for the density is 3.6 Mg/m³.

Cell: 7.2805 7.2795 10.2968 Å, 90.00 90.00 90.00°
Site moments in Bohr magnetons follow the coordinates.
Fractional positions:
Cl: 0.2685 0.0184 0.5000  0.02
Cl: 0.0000 0.7500 0.2315  0.02
Cl: 0.7685 0.5184 0.0000  0.02
Rb: 0.0000 0.2495 0.2501  0.00
Rb: 0.5000 0.7505 0.2499  0.00
Cl: 0.2685 0.4816 0.5000  0.02
Rb: 0.0000 0.2495 0.7499  0.00
Os: 0.5000 0.2500 0.5000  0.76
Cl: 0.7315 0.4816 0.5000  0.02
Rb: 0.5000 0.7505 0.7501  0.00
Cl: 0.2315 0.9816 0.0000  0.02
Cl: 0.7685 0.9816 0.0000  0.02
Cl: 0.5000 0.2500 0.7315  0.02
Cl: 0.2315 0.5184 0.0000  0.02
Na: 0.5000 0.2502 0.0000  0.00
Cl: 0.5000 0.2500 0.2685  0.02
Os: 0.0000 0.7500 0.0000  0.76
Cl: 0.0000 0.7500 0.7685  0.02
Na: 0.0000 0.7498 0.5000  0.00
Cl: 0.7315 0.0184 0.5000  0.02